# AcTb4Pr, optimized geometry, DFT PBE
data_AcTb4Pr
_cell_length_a 9.546
_cell_length_b 9.546
_cell_length_c 9.546
_cell_angle_alpha 90.00
_cell_angle_beta 90.00
_cell_angle_gamma 90.00
_space_group_name_H-M_alt 'F -4 3 m'
_space_group_IT_number 216
_space_group_name_Hall 'F -4 2 3'
loop_
_atom_site_label
_atom_site_type_symbol
_atom_site_fract_x
_atom_site_fract_y
_atom_site_fract_z
Ac1 Ac 0.000 0.000 0.000
Tb1 Tb 0.124 0.124 0.624
Pr1 Pr 0.250 0.250 0.250
# - ΔE to the lowest computed polymorph (eV per atom) = 0.231
# - M_tot (μB/cell) = 7.6
# - DFT formation energy (meV per atom) = 265
# - E (eV per cell) = -103.27
# - DOS at the Fermi energy (states/eV/f.u.) = 15.421